[1]
Material: Pm2YTmS4
Method: DFT, PBE-GGA
State: optimized geometry

```
data_Pm2YTmS4
_chemical_formula_sum 'Pm2 Y1 Tm1 S4'
_symmetry_space_group_name_H-M 'P 1 2/m 1'
_symmetry_Int_Tables_number 10
_cell_length_a 6.810
_cell_length_b 3.903
_cell_length_c 6.968
_cell_angle_alpha 90.00
_cell_angle_beta 108.78
_cell_angle_gamma 90.00
loop_
_symmetry_equiv_pos_as_xyz
'x,y,z'
'-x,-y,-z'
'-x,y,-z'
'x,-y,z'
loop_
_atom_site_label
_atom_site_type_symbol
_atom_site_fract_x
_atom_site_fract_y
_atom_site_fract_z
Pm1 Pm 0.000 0.000 0.000
Pm2 Pm 0.500 0.500 0.000
Y1 Y 0.000 0.500 0.500
Tm1 Tm 0.500 0.000 0.500
S1 S 0.249 0.000 0.736
S2 S 0.259 0.500 0.267
```

Results
The value obtained for the volume is 21.92 Å³ per atom. The calculation puts the energy at -6.621 eV/atom. The formation energy from raw total energies comes out at -16.02 eV/f.u. The value obtained for the density of states at the Fermi level is 4.3 states/eV/cell.

***

[2]
Material: TcPd2W
Method: DFT, PBE-GGA
State: optimized geometry

```
data_TcPd2W
_chemical_formula_sum 'Tc4 Pd8 W4'
_symmetry_space_group_name_H-M 'I -4 2 d'
_symmetry_Int_Tables_number 122
_symmetry_space_group_name_Hall 'I -4 2bw'
_cell_length_a 7.150
_cell_length_b 7.150
_cell_length_c 5.214
_cell_angle_alpha 90.00
_cell_angle_beta 90.00
_cell_angle_gamma 90.00
loop_
_atom_site_label
_atom_site_type_symbol
_atom_site_fract_x
_atom_site_fract_y
_atom_site_fract_z
Tc1 Tc 0.000 0.000 0.000
Pd1 Pd 0.239 0.750 0.625
W1 W 0.000 0.000 0.500
```

Results
The value obtained for the volume is 16.66 Å³ per atom. The calculation puts the energy at -7.702 eV/atom. The value obtained for the density of states at the Fermi level is 15.3 states/eV/cell.

***

[3]
Material: Rb12TlCd6
Method: DFT, PBE-GGA
State: optimized geometry

```
data_Rb12TlCd6
_chemical_formula_sum 'Rb24 Tl2 Cd12'
_symmetry_space_group_name_H-M 'I m -3'
_symmetry_Int_Tables_number 204
_symmetry_space_group_name_Hall '-I 2 2 3'
_cell_length_a 12.915
_cell_length_b 12.915
_cell_length_c 12.915
_cell_angle_alpha 90.00
_cell_angle_beta 90.00
_cell_angle_gamma 90.00
loop_
_atom_site_label
_atom_site_type_symbol
_atom_site_fract_x
_atom_site_fract_y
_atom_site_fract_z
Rb1 Rb 0.000 0.288 0.185
Tl1 Tl 0.000 0.000 0.000
Cd1 Cd 0.000 0.115 0.500
```

Results
The value obtained for the volume is 56.69 Å³ per atom. The calculation puts the energy at -1.022 eV/atom. The value obtained for the density of states at the Fermi level is 28.3 states/eV/cell.

***

[4]
Material: ZnTcSe2
Method: DFT, PBE-GGA
State: optimized geometry

```
data_ZnTcSe2
_chemical_formula_sum 'Zn1 Tc1 Se2'
_symmetry_space_group_name_H-M 'P 1 2/m 1'
_symmetry_Int_Tables_number 10
_cell_length_a 3.346
_cell_length_b 4.093
_cell_length_c 5.211
_cell_angle_alpha 90.00
_cell_angle_beta 90.08
_cell_angle_gamma 90.00
loop_
_symmetry_equiv_pos_as_xyz
'x,y,z'
'-x,-y,-z'
'-x,y,-z'
'x,-y,z'
loop_
_atom_site_label
_atom_site_type_symbol
_atom_site_fract_x
_atom_site_fract_y
_atom_site_fract_z
Zn1 Zn 0.000 0.000 0.000
Tc1 Tc 0.500 0.500 0.500
Se1 Se 0.000 0.000 0.500
Se2 Se 0.500 0.500 0.000
```

Results
The value obtained for the volume is 17.84 Å³ per atom. The calculation puts the energy at -4.555 eV/atom. The formation energy from raw total energies comes out at 0.39 eV/f.u. The value obtained for the density of states at the Fermi level is 3.3 states/eV/cell.